No. 1
The following is a DFT calculation (GGA-PBE) of a relaxed Rb2AlGeF6 crystal.

```
10
Lattice="5.818 0.000 0.000 0.000 5.818 0.000 2.909 2.909 5.237" Properties=species:S:1:pos:R:3 pbc="T T T"
F 4.219 4.219 0.000
F 2.909 2.909 1.810
F 1.599 1.599 0.000
Rb 5.818 2.909 2.618
Ge 0.000 0.000 0.000
F 1.599 4.219 0.000
F 4.219 1.599 0.000
Al 2.909 2.909 0.000
Rb 2.909 5.818 2.618
F 5.818 5.818 3.427
```

**Space group**: I4/mmm (139)
**DFT total energy**: -4.877 eV per atom

---

No. 2
The following is a DFT calculation (GGA-PBE) of a relaxed AlReGe2F crystal.

```
5
Lattice="4.916 0.000 0.000 0.000 4.041 0.000 0.000 0.000 4.916" Properties=species:S:1:pos:R:3 pbc="T T T"
Ge 2.458 0.000 0.000
F 0.000 2.021 0.000
Ge 0.000 0.000 2.458
Re 0.000 0.000 0.000
Al 2.458 2.021 2.458
```

**Space group**: P4/mmm (123)
**DFT total energy**: -5.380 eV per atom

---

No. 3
The following is a DFT calculation (GGA-PBE) of a relaxed AlGeS2F crystal.

```
5
Lattice="-2.884 1.386 3.024 -4.023 -0.575 -3.572 -0.594 -4.152 1.337" Properties=species:S:1:pos:R:3 pbc="T T T"
Al 0.000 0.000 0.000
S -0.297 -2.076 0.669
F -3.750 -1.671 0.395
S -1.442 0.693 1.512
Ge -2.011 -0.288 -1.786
```

**Space group**: P4/mmm (123)
**DFT total energy**: -3.787 eV per atom

---

No. 4
The following is a DFT calculation (GGA-PBE) of a relaxed SrAlGeF2 crystal.

```
5
Lattice="-2.753 -2.729 -2.219 -1.637 -3.362 6.167 -3.368 2.858 0.664" Properties=species:S:1:pos:R:3 pbc="T T T"
Ge -0.818 -1.681 3.083
F -1.684 1.429 0.332
Al -3.879 -1.617 2.306
F -1.376 -1.364 -1.109
Sr 0.000 0.000 0.000
```

**Space group**: P4/mmm (123)
**DFT total energy**: -4.243 eV per atom

---

No. 5
The following is a DFT calculation (GGA-PBE) of a relaxed SrAlGeF crystal.

```
8
Lattice="4.149 0.000 0.000 0.000 4.149 0.000 0.000 0.000 9.461" Properties=species:S:1:pos:R:3 pbc="T T T"
Sr 2.075 0.000 6.143
F 0.000 0.000 4.731
F 2.075 2.075 4.731
Sr 0.000 2.075 3.319
Al 2.075 2.075 0.000
Al 0.000 0.000 0.000
Ge 2.075 0.000 1.591
Ge 0.000 2.075 7.870
```

**Space group**: P4/nmm (129)
**DFT total energy**: -4.708 eV per atom

---

No. 6
The following is a DFT calculation (GGA-PBE) of a relaxed AlTcGeF2 crystal.

```
5
Lattice="-0.132 -3.477 -0.606 -0.095 -1.012 5.827 -3.529 0.140 -0.033" Properties=species:S:1:pos:R:3 pbc="T T T"
Tc -0.047 -0.506 2.914
F -0.066 -1.738 -0.303
Ge -1.878 -2.174 2.594
Al 0.000 0.000 0.000
F -1.764 0.070 -0.017
```

**Space group**: P4/mmm (123)
**DFT total energy**: -5.841 eV per atom

---

no.,raw formation energy (meV per atom)
1,-2725
2,79
3,-89
4,-1486
5,-1729
6,-1347